Entry 1:
First-principles (PBE) data for an optimized crystal structure of CaSiBO5, as listed in Alexandria.

DOS(E_F) = 0.126 states/eV/f.u.
Crystal system = monoclinic
Magnetic moment = 4.09 Bohr magnetons per cell
ΔE_f (raw) = -2543 meV/atom
Calculated volume = 368 Å³ per cell

abc: 7.7160 4.9674 9.6018
angles: 88.58 90.00 90.00
Last column: nearest neighbours and their distance in Å.
Sites, in units of the cell vectors:
O 0.3934 0.2327 0.9517  1 Si 1.62
Ca 0.1134 0.9956 0.6715  7 O 2.37-2.58
Si 0.7452 0.5301 0.0848  4 O 1.62-1.67
B 0.5966 0.4410 0.3274  4 O 1.47-1.50
O 0.9211 0.6662 0.1506  1 B 1.47
Ca 0.6135 0.0044 0.8285  7 O 2.37-2.58
O 0.1066 0.2327 0.4517  1 Si 1.62
Si 0.2548 0.4699 0.9152  4 O 1.62-1.67
Ca 0.8866 0.0044 0.3285  7 O 2.37-2.58
Si 0.2452 0.4699 0.4152  4 O 1.62-1.67
B 0.4034 0.5590 0.6726  4 O 1.47-1.50
Si 0.7548 0.5301 0.5848  4 O 1.62-1.67
B 0.9034 0.4410 0.8274  4 O 1.47-1.50
O 0.5789 0.6662 0.6506  1 B 1.47
O 0.3329 0.6937 0.7992  1 B 1.50, 1 Si 1.67
O 0.6671 0.3063 0.2008  1 B 1.50, 1 Si 1.67
O 0.0789 0.3338 0.8494  1 B 1.47
B 0.0966 0.5590 0.1726  4 O 1.47-1.50
O 0.2103 0.6415 0.0550  1 B 1.48, 1 Si 1.64
O 0.7897 0.3585 0.9450  1 B 1.48, 1 Si 1.64
Ca 0.3866 0.9956 0.1715  7 O 2.37-2.58
O 0.6032 0.7352 0.3028  1 B 1.48
O 0.8968 0.7352 0.8028  1 B 1.48
O 0.1032 0.2648 0.1972  1 B 1.48
O 0.3968 0.2648 0.6972  1 B 1.48
O 0.8329 0.3063 0.7008  1 B 1.50, 1 Si 1.67
O 0.6066 0.7673 0.0483  1 Si 1.62
O 0.4211 0.3338 0.3494  1 B 1.47
O 0.1671 0.6937 0.2992  1 B 1.50, 1 Si 1.67
O 0.8934 0.7673 0.5483  1 Si 1.62
O 0.2897 0.6415 0.5550  1 B 1.48, 1 Si 1.64
O 0.7103 0.3585 0.4450  1 B 1.48, 1 Si 1.64

Entry 2:
First-principles (PBE) data for an optimized crystal structure of CaSm2B2O6, as listed in Alexandria.

DOS(E_F) = 0.976 states/eV/f.u.
Crystal system = trigonal
Magnetic moment = 0.00 Bohr magnetons per cell
ΔE_f (raw) = -2661 meV/atom
Calculated volume = 199 Å³ per cell

abc: 5.0787 5.0787 8.8931
angles: 90.00 90.00 120.00
Last column: nearest neighbours and their distance in Å.
Sites, in units of the cell vectors:
O 0.9337 0.6120 0.8296  1 B 1.39
O 0.6120 0.6783 0.1704  1 B 1.39
B 0.3333 0.6667 0.1715  3 O 1.39
O 0.6783 0.0663 0.8296  1 B 1.39
Sm 0.6667 0.3333 0.2993  3 O 2.22
O 0.3217 0.9337 0.1704  1 B 1.39
O 0.3880 0.3217 0.8296  1 B 1.39
Ca 0.0000 0.0000 0.0000  6 O 2.37
Sm 0.3333 0.6667 0.7007  3 O 2.22
B 0.6667 0.3333 0.8285  3 O 1.39
O 0.0663 0.3880 0.1704  1 B 1.39

Entry 3:
First-principles (PBE) data for an optimized crystal structure of CaSn3B4O12, as listed in Alexandria.

DOS(E_F) = 2.980 states/eV/f.u.
Crystal system = trigonal
Magnetic moment = 0.00 Bohr magnetons per cell
ΔE_f (raw) = -2070 meV/atom
Calculated volume = 242 Å³ per cell

abc: 6.4222 6.4222 6.4222
angles: 102.70 102.70 102.70
Last column: nearest neighbours and their distance in Å.
Sites, in units of the cell vectors:
O 0.6286 0.8163 0.0182  1 B 1.38
O 0.9818 0.1837 0.3714  1 B 1.38
B 0.5000 0.9615 0.0385  3 O 1.38-1.41
Sn 0.0000 0.5338 0.4662  6 O 2.17-2.23
O 0.3714 0.9818 0.1837  1 B 1.38
B 0.9615 0.0385 0.5000  3 O 1.38-1.41
O 0.8977 0.5000 0.1023  1 B 1.41
Sn 0.5338 0.4662 0.0000  6 O 2.17-2.23
O 0.0182 0.6286 0.8163  1 B 1.38
O 0.5000 0.3617 0.6383  1 B 1.39
B 0.0385 0.5000 0.9615  3 O 1.38-1.41
B 0.5000 0.5000 0.5000  3 O 1.39
O 0.5000 0.1023 0.8977  1 B 1.41
O 0.1023 0.8977 0.5000  1 B 1.41
O 0.8163 0.0182 0.6286  1 B 1.38
Sn 0.4662 0.0000 0.5338  6 O 2.17-2.23
Ca 0.0000 0.0000 0.0000  6 O 2.46
O 0.1837 0.3714 0.9818  1 B 1.38
O 0.3617 0.6383 0.5000  1 B 1.39
O 0.6383 0.5000 0.3617  1 B 1.39

Entry 4:
First-principles (PBE) data for an optimized crystal structure of CaTaB2O8, as listed in Alexandria.

DOS(E_F) = 6.589 states/eV/f.u.
Crystal system = trigonal
Magnetic moment = 2.96 Bohr magnetons per cell
ΔE_f (raw) = -2112 meV/atom
Calculated volume = 146 Å³ per cell

abc: 5.0585 5.0585 6.5969
angles: 90.00 90.00 120.00
Last column: nearest neighbours and their distance in Å.
Sites, in units of the cell vectors:
O 0.8242 0.1758 0.1862  1 B 1.45
O 0.1758 0.8242 0.8138  1 B 1.45
B 0.6667 0.3333 0.2532  4 O 1.45-1.47
O 0.6667 0.3333 0.4762  1 B 1.47
B 0.3333 0.6667 0.7468  4 O 1.45-1.47
Ca 0.0000 0.0000 0.5000  6 O 2.58
Ta 0.0000 0.0000 0.0000  6 O 1.97
O 0.3516 0.1758 0.1862  1 B 1.45
O 0.3333 0.6667 0.5238  1 B 1.47
O 0.6484 0.8242 0.8138  1 B 1.45
O 0.1758 0.3516 0.8138  1 B 1.45
O 0.8242 0.6484 0.1862  1 B 1.45

Entry 5:
First-principles (PBE) data for an optimized crystal structure of CaTaBO5, as listed in Alexandria.

DOS(E_F) = 0.000 states/eV/f.u.
Crystal system = monoclinic
Magnetic moment = 0.00 Bohr magnetons per cell
ΔE_f (raw) = -2807 meV/atom
Calculated volume = 182 Å³ per cell

abc: 5.3417 5.3417 7.2638
angles: 104.70 104.70 104.92
Last column: nearest neighbours and their distance in Å.
Sites, in units of the cell vectors:
Ta 0.0000 0.0000 0.5000  6 O 1.94-2.03
O 0.2466 0.3957 0.6052  1 B 1.51
B 0.3173 0.6827 0.7500  4 O 1.51-1.52
B 0.6827 0.3173 0.2500  4 O 1.51-1.52
O 0.7534 0.6043 0.3948  1 B 1.51
Ca 0.3420 0.6580 0.2500  5 O 2.21-2.46
Ta 0.0000 0.0000 0.0000  6 O 1.94-2.03
O 0.9189 0.0811 0.7500  2 Ta 1.94
O 0.1214 0.6913 0.8685  1 B 1.52
O 0.6043 0.7534 0.8948  1 B 1.51
O 0.3087 0.8786 0.6315  1 B 1.52
Ca 0.6580 0.3420 0.7500  5 O 2.21-2.46
O 0.6913 0.1214 0.3685  1 B 1.52
O 0.0811 0.9189 0.2500  2 Ta 1.94
O 0.3957 0.2466 0.1052  1 B 1.51
O 0.8786 0.3087 0.1315  1 B 1.52

Entry 6:
First-principles (PBE) data for an optimized crystal structure of CaTcBO5, as listed in Alexandria.

DOS(E_F) = 2.214 states/eV/f.u.
Crystal system = monoclinic
Magnetic moment = 2.69 Bohr magnetons per cell
ΔE_f (raw) = -2108 meV/atom
Calculated volume = 174 Å³ per cell

abc: 5.2888 5.2888 7.1019
angles: 104.57 104.57 105.63
Last column: nearest neighbours and their distance in Å.
Sites, in units of the cell vectors:
O 0.3179 0.8838 0.6311  1 B 1.50
O 0.7513 0.5993 0.4023  1 B 1.51
Tc 0.0000 0.0000 0.0000  6 O 1.87-2.03
O 0.8838 0.3179 0.1311  1 B 1.50
B 0.3134 0.6866 0.7500  4 O 1.50-1.51
Ca 0.3407 0.6593 0.2500  5 O 2.30-2.38
O 0.1162 0.6821 0.8689  1 B 1.50
O 0.0678 0.9322 0.2500  2 Tc 1.87
B 0.6866 0.3134 0.2500  4 O 1.50-1.51
O 0.9322 0.0678 0.7500  2 Tc 1.87
Ca 0.6593 0.3407 0.7500  5 O 2.30-2.38
O 0.6821 0.1162 0.3689  1 B 1.50
O 0.2487 0.4007 0.5977  1 B 1.51
O 0.4007 0.2487 0.0977  1 B 1.51
O 0.5993 0.7513 0.9023  1 B 1.51
Tc 0.0000 0.0000 0.5000  6 O 1.87-2.03

Entry 7:
First-principles (PBE) data for an optimized crystal structure of CaB2TeO6, as listed in Alexandria.

DOS(E_F) = 0.000 states/eV/f.u.
Crystal system = monoclinic
Magnetic moment = 0.00 Bohr magnetons per cell
ΔE_f (raw) = -1983 meV/atom
Calculated volume = 209 Å³ per cell

abc: 5.0794 6.5192 6.5192
angles: 88.04 79.77 79.77
Last column: nearest neighbours and their distance in Å.
Sites, in units of the cell vectors:
Te 0.7500 0.6830 0.3170  4 O 2.07-2.09
O 0.5288 0.3382 0.2707  2 B 1.53-1.60
O 0.1874 0.0151 0.7485  1 B 1.51
O 0.3126 0.2515 0.9849  1 B 1.51
B 0.7449 0.1907 0.3667  4 O 1.43-1.60
B 0.2449 0.3667 0.1907  4 O 1.43-1.60
O 0.6483 0.1628 0.5839  1 B 1.43
B 0.7551 0.6333 0.8093  4 O 1.43-1.60
O 0.0288 0.2707 0.3382  2 B 1.53-1.60
O 0.6874 0.7485 0.0151  1 B 1.51
O 0.4712 0.6618 0.7293  2 B 1.53-1.60
O 0.9712 0.7293 0.6618  2 B 1.53-1.60
O 0.1483 0.5839 0.1628  1 B 1.43
Ca 0.7500 0.0984 0.9016  6 O 2.23-2.43
O 0.8517 0.4161 0.8372  1 B 1.43
Ca 0.2500 0.9016 0.0984  6 O 2.23-2.43
O 0.3517 0.8372 0.4161  1 B 1.43
B 0.2551 0.8093 0.6333  4 O 1.43-1.60
Te 0.2500 0.3170 0.6830  4 O 2.07-2.09
O 0.8126 0.9849 0.2515  1 B 1.51

Entry 8:
First-principles (PBE) data for an optimized crystal structure of Ca2BTeO, as listed in Alexandria.

DOS(E_F) = 1.012 states/eV/f.u.
Crystal system = tetragonal
Magnetic moment = 0.00 Bohr magnetons per cell
ΔE_f (raw) = -190 meV/atom
Calculated volume = 114 Å³ per cell

abc: 5.1473 4.2975 5.1473
angles: 90.00 90.00 90.00
Last column: nearest neighbours and their distance in Å.
Sites, in units of the cell vectors:
O 0.5000 0.5000 0.5000  8 Ca 3.35, 4 Te 3.64
B 0.0000 0.0000 0.0000  2 Te 2.15
Ca 0.5000 0.0000 0.0000  2 B 2.57
Ca 0.0000 0.0000 0.5000  2 B 2.57
Te 0.0000 0.5000 0.0000  2 B 2.15